No. 1
Entry from Alexandria via LeMat-Bulk: AlNi2I2 after structural relaxation (PBE-GGA).

Formation energy (no corrections) (eV/atom): 0.66
Symmetry: P4/mbm (127)
DOS(E_F) (states/eV/f.u.): 5.67

Lattice parameters (Å, degrees): 7.7802 7.7802 3.4296 90.00 90.00 90.00
Sites, in units of the cell vectors:
1 Al 0.0000 0.0000 0.0000
2 Al 0.5000 0.5000 0.0000
3 Ni 0.1153 0.3847 0.5000
4 Ni 0.3847 0.8847 0.5000
5 Ni 0.6153 0.1153 0.5000
6 Ni 0.8847 0.6153 0.5000
7 I 0.1728 0.6728 0.0000
8 I 0.3272 0.1728 0.0000
9 I 0.6728 0.8272 0.0000
10 I 0.8272 0.3272 0.0000

---

No. 2
Entry from Alexandria via LeMat-Bulk: AlNi3I after structural relaxation (PBE-GGA).

Formation energy (no corrections) (eV/atom): 1.01
Symmetry: Pm-3m (221)
DOS(E_F) (states/eV/f.u.): 3.72

Lattice parameters (Å, degrees): 4.6477 4.6477 4.6477 90.00 90.00 90.00
Sites, in units of the cell vectors:
1 Al 0.0000 0.0000 0.0000
2 Ni 0.0000 0.5000 0.5000
3 Ni 0.5000 0.0000 0.5000
4 Ni 0.5000 0.5000 0.0000
5 I 0.5000 0.5000 0.5000

---

No. 3
Entry from Alexandria via LeMat-Bulk: AlNiI2 after structural relaxation (PBE-GGA).

Formation energy (no corrections) (eV/atom): 0.20
Symmetry: I-42d (122)
DOS(E_F) (states/eV/f.u.): 1.83

Lattice parameters (Å, degrees): 6.6676 6.6676 6.6676 108.01 108.01 112.43
Sites, in units of the cell vectors:
1 Al 0.0000 0.0000 0.0000
2 Al 0.7500 0.2500 0.5000
3 Ni 0.2500 0.7500 0.5000
4 Ni 0.5000 0.5000 0.0000
5 I 0.2074 0.1250 0.5824
6 I 0.3750 0.7926 0.9176
7 I 0.5426 0.6250 0.4176
8 I 0.8750 0.4574 0.0824

---

No. 4
Entry from Alexandria via LeMat-Bulk: AlNi3I after structural relaxation (PBE-GGA).

Formation energy (no corrections) (eV/atom): 0.70
Symmetry: Pm-3m (221)
DOS(E_F) (states/eV/f.u.): 0.68

Lattice parameters (Å, degrees): 4.4282 4.4282 4.4282 90.00 90.00 90.00
Sites, in units of the cell vectors:
1 Al 0.0000 0.0000 0.0000
2 Ni 0.0000 0.0000 0.5000
3 Ni 0.0000 0.5000 0.0000
4 Ni 0.5000 0.0000 0.0000
5 I 0.5000 0.5000 0.5000

---

No. 5
Entry from Alexandria via LeMat-Bulk: Al2NiI after structural relaxation (PBE-GGA).

Formation energy (no corrections) (eV/atom): 0.72
Symmetry: Fm-3m (225)
DOS(E_F) (states/eV/f.u.): 3.33

Lattice parameters (Å, degrees): 4.7863 4.7863 4.7863 60.00 60.00 60.00
Sites, in units of the cell vectors:
1 Al 0.2500 0.2500 0.2500
2 Al 0.7500 0.7500 0.7500
3 Ni 0.0000 0.0000 0.0000
4 I 0.5000 0.5000 0.5000

---

No. 6
Entry from Alexandria via LeMat-Bulk: Al2NiI after structural relaxation (PBE-GGA).

Formation energy (no corrections) (eV/atom): 0.21
Symmetry: I-42d (122)
DOS(E_F) (states/eV/f.u.): 2.68

Lattice parameters (Å, degrees): 7.8189 7.8189 7.8189 137.82 137.82 61.18
Sites, in units of the cell vectors:
1 Al 0.3750 0.2412 0.3662
2 Al 0.7588 0.1250 0.1338
3 Al 0.8750 0.0088 0.6338
4 Al 0.9912 0.6250 0.8662
5 Ni 0.0000 0.0000 0.0000
6 Ni 0.7500 0.2500 0.5000
7 I 0.2500 0.7500 0.5000
8 I 0.5000 0.5000 0.0000

---

No. 7
Entry from Alexandria via LeMat-Bulk: AlNi2I2 after structural relaxation (PBE-GGA).

Formation energy (no corrections) (eV/atom): 0.35
Symmetry: I4/mmm (139)
DOS(E_F) (states/eV/f.u.): 5.32

Lattice parameters (Å, degrees): 8.1130 8.1130 8.1130 152.97 152.97 38.60
Sites, in units of the cell vectors:
1 Al 0.0000 0.0000 0.0000
2 Ni 0.2500 0.7500 0.5000
3 Ni 0.7500 0.2500 0.5000
4 I 0.3668 0.3668 0.0000
5 I 0.6332 0.6332 0.0000

---

No. 8
Entry from Alexandria via LeMat-Bulk: AlNiI2 after structural relaxation (PBE-GGA).

Formation energy (no corrections) (eV/atom): 0.57
Symmetry: Fm-3m (225)
DOS(E_F) (states/eV/f.u.): 8.06

Lattice parameters (Å, degrees): 5.1359 5.1359 5.1359 60.00 60.00 60.00
Sites, in units of the cell vectors:
1 Al 0.0000 0.0000 0.0000
2 Ni 0.5000 0.5000 0.5000
3 I 0.2500 0.2500 0.2500
4 I 0.7500 0.7500 0.7500

---

No. 9
Entry from Alexandria via LeMat-Bulk: AlNiI3 after structural relaxation (PBE-GGA).

Formation energy (no corrections) (eV/atom): 0.12
Symmetry: Pm-3m (221)
DOS(E_F) (states/eV/f.u.): 1.86

Lattice parameters (Å, degrees): 5.3539 5.3539 5.3539 90.00 90.00 90.00
Sites, in units of the cell vectors:
1 Al 0.0000 0.0000 0.0000
2 Ni 0.5000 0.5000 0.5000
3 I 0.0000 0.5000 0.5000
4 I 0.5000 0.0000 0.5000
5 I 0.5000 0.5000 0.0000

---

no.,total magnetic moment (μB/cell)
1,0.00
2,0.00
3,0.00
4,0.00
5,0.00
6,0.00
7,0.85
8,0.00
9,0.00